1.
This record from Alexandria via LeMat-Bulk describes an optimized crystal structure of Pm8Ir2Ru3. The functional is PBE.

Summary:
- total moment (μB per atom) = 0.000
- energy of formation from the pure elements (kJ per mole of atoms) = -34.9

a = 8.537 Å, b = 4.907 Å, c = 8.546 Å
α = 90.00°, β = 109.58°, γ = 90.00°
Space group P2/m (No. 10)
Inequivalent atoms, fractional coordinates:
Pm 0.122 0.000 0.379 (multiplicity 2)
Pm 0.127 0.500 0.872 (multiplicity 2)
Pm 0.373 0.500 0.627 (multiplicity 2)
Pm 0.375 0.000 0.124 (multiplicity 2)
Ir 0.249 0.500 0.251 (multiplicity 2)
Ru 0.252 0.000 0.752 (multiplicity 2)
Ru 0.500 0.500 0.000 (multiplicity 1)

=====

2.
This record from Alexandria via LeMat-Bulk describes an optimized crystal structure of ZrCdNiPd. The functional is PBE.

Summary:
- total moment (μB per atom) = 0.000
- energy of formation from the pure elements (kJ per mole of atoms) = -38.2

a = 6.482 Å, b = 6.482 Å, c = 6.482 Å
α = 90.00°, β = 90.00°, γ = 90.00°
Space group F-43m (No. 216)
Inequivalent atoms, fractional coordinates:
Zr 0.000 0.000 0.000 (multiplicity 4)
Cd 0.000 0.000 0.500 (multiplicity 4)
Ni 0.250 0.250 0.750 (multiplicity 4)
Pd 0.250 0.250 0.250 (multiplicity 4)

=====

3.
This record from Alexandria via LeMat-Bulk describes an optimized crystal structure of Al3Zn2Ga8. The functional is PBE.

Summary:
- total moment (μB per atom) = 0.000
- energy of formation from the pure elements (kJ per mole of atoms) = 7.1

a = 12.381 Å, b = 8.256 Å, c = 4.838 Å
α = 90.00°, β = 104.64°, γ = 90.00°
Space group C2/m (No. 12)
Inequivalent atoms, fractional coordinates:
Al 0.000 0.000 0.000 (multiplicity 2)
Al 0.000 0.208 0.500 (multiplicity 4)
Zn 0.184 0.500 0.807 (multiplicity 4)
Ga 0.063 0.500 0.274 (multiplicity 4)
Ga 0.152 0.230 0.080 (multiplicity 8)
Ga 0.182 0.000 0.568 (multiplicity 4)

=====

4.
This record from Alexandria via LeMat-Bulk describes an optimized crystal structure of ScAl3Co. The functional is PBE.

Summary:
- total moment (μB per atom) = 0.000
- distance to the lowest polymorph of the same formula (meV per atom) = 263.2
- energy of formation from the pure elements (kJ per mole of atoms) = -23.0

a = 4.442 Å, b = 4.442 Å, c = 4.442 Å
α = 90.00°, β = 90.00°, γ = 90.00°
Space group Pm-3m (No. 221)
Inequivalent atoms, fractional coordinates:
Sc 0.000 0.000 0.000 (multiplicity 1)
Al 0.000 0.500 0.500 (multiplicity 3)
Co 0.500 0.500 0.500 (multiplicity 1)

=====

5.
This record from Alexandria via LeMat-Bulk describes an optimized crystal structure of VZnCuPd. The functional is PBE.

Summary:
- total moment (μB per atom) = 0.000
- energy of formation from the pure elements (kJ per mole of atoms) = -8.1

a = 6.043 Å, b = 6.043 Å, c = 6.043 Å
α = 90.00°, β = 90.00°, γ = 90.00°
Space group F-43m (No. 216)
Inequivalent atoms, fractional coordinates:
V 0.000 0.000 0.000 (multiplicity 4)
Zn 0.000 0.000 0.500 (multiplicity 4)
Cu 0.250 0.250 0.250 (multiplicity 4)
Pd 0.250 0.250 0.750 (multiplicity 4)

=====

6.
This record from Alexandria via LeMat-Bulk describes an optimized crystal structure of Ca2PrHoTl4. The functional is PBE.

Summary:
- total moment (μB per atom) = 0.000
- energy of formation from the pure elements (kJ per mole of atoms) = -36.5

a = 5.4746 Å, b = 5.4746 Å, c = 26.9155 Å
α = 90.00°, β = 90.00°, γ = 120.00°
Space group R-3m (No. 166, hexagonal axes)
Inequivalent atoms, fractional coordinates:
Ca 0.0000 0.0000 0.2492 (multiplicity 6)
Pr 0.0000 0.0000 0.0000 (multiplicity 3)
Ho 0.0000 0.0000 0.5000 (multiplicity 3)
Tl 0.0000 0.0000 0.1266 (multiplicity 6)
Tl 0.0000 0.0000 0.3775 (multiplicity 6)

=====

7.
This record from Alexandria via LeMat-Bulk describes an optimized crystal structure of Sr2Al2Si. The functional is PBE.

Summary:
- total moment (μB per atom) = 0.000
- energy relative to the elements, uncorrected (eV per atom) = -0.306

a = 12.376 Å, b = 4.218 Å, c = 11.637 Å
α = 90.00°, β = 113.33°, γ = 90.00°
Space group C2/m (No. 12)
Inequivalent atoms, fractional coordinates:
Sr 0.108 0.000 0.395 (multiplicity 4)
Sr 0.212 0.500 0.143 (multiplicity 4)
Al 0.033 0.000 0.910 (multiplicity 4)
Al 0.112 0.500 0.618 (multiplicity 4)
Si 0.067 0.500 0.814 (multiplicity 4)

=====

8.
This record from Alexandria via LeMat-Bulk describes an optimized crystal structure of RbAlCo2. The functional is PBE.

Summary:
- total moment (μB per atom) = 0.664
- distance to the lowest polymorph of the same formula (meV per atom) = 0.0
- energy of formation from the pure elements (kJ per mole of atoms) = 75.1

a = 4.823 Å, b = 4.823 Å, c = 16.940 Å
α = 90.00°, β = 90.00°, γ = 90.00°
Space group I4_1/amd (No. 141, origin choice 2)
Inequivalent atoms, fractional coordinates:
Rb 0.000 0.250 0.375 (multiplicity 4)
Al 0.000 0.250 0.875 (multiplicity 4)
Co 0.000 0.000 0.000 (multiplicity 8)

=====

9.
This record from Alexandria via LeMat-Bulk describes an optimized crystal structure of HfZn2Ag2. The functional is PBE.

Summary:
- total moment (μB per atom) = 0.000
- distance to the lowest polymorph of the same formula (meV per atom) = 4.8
- energy of formation from the pure elements (kJ per mole of atoms) = 3.7

a = 7.783 Å, b = 7.783 Å, c = 2.865 Å
α = 90.00°, β = 90.00°, γ = 90.00°
Space group P4/mbm (No. 127)
Inequivalent atoms, fractional coordinates:
Hf 0.000 0.000 0.000 (multiplicity 2)
Zn 0.170 0.330 0.500 (multiplicity 4)
Ag 0.129 0.629 0.000 (multiplicity 4)

=====

10.
This record from Alexandria via LeMat-Bulk describes an optimized crystal structure of CsNiBPd2. The functional is PBE.

Summary:
- total moment (μB per atom) = 0.000
- energy of formation from the pure elements (kJ per mole of atoms) = 36.5

a = 4.528 Å, b = 4.528 Å, c = 4.189 Å
α = 90.00°, β = 90.00°, γ = 90.00°
Space group P4/mmm (No. 123)
Inequivalent atoms, fractional coordinates:
Cs 0.000 0.000 0.000 (multiplicity 1)
Ni 0.500 0.500 0.000 (multiplicity 1)
B 0.500 0.500 0.500 (multiplicity 1)
Pd 0.000 0.500 0.500 (multiplicity 2)

=====

11.
This record from Alexandria via LeMat-Bulk describes an optimized crystal structure of TlH7Pt4. The functional is PBE.

Summary:
- total moment (μB per atom) = 0.000
- E (eV per cell) = -99.0

a = 10.261 Å, b = 5.432 Å, c = 4.764 Å
α = 90.00°, β = 90.00°, γ = 90.00°
Space group Pmn2_1 (No. 31)
Inequivalent atoms, fractional coordinates:
Tl 0.000 0.242 0.000 (multiplicity 2)
H 0.000 0.947 0.429 (multiplicity 2)
H 0.109 0.673 0.195 (multiplicity 4)
H 0.117 0.774 0.702 (multiplicity 4)
H 0.165 0.208 0.537 (multiplicity 4)
Pt 0.170 0.919 0.401 (multiplicity 4)
Pt 0.208 0.587 0.924 (multiplicity 4)

=====

12.
This record from Alexandria via LeMat-Bulk describes an optimized crystal structure of Nd5DyBi4. The functional is PBE.

Summary:
- total moment (μB per atom) = 0.000
- energy of formation from the pure elements (kJ per mole of atoms) = -53.6

a = 19.495 Å, b = 4.492 Å, c = 8.773 Å
α = 90.00°, β = 105.63°, γ = 90.00°
Space group C2/m (No. 12)
Inequivalent atoms, fractional coordinates:
Nd 0.000 0.000 0.000 (multiplicity 2)
Nd 0.164 0.500 0.320 (multiplicity 4)
Nd 0.177 0.500 0.852 (multiplicity 4)
Dy 0.000 0.000 0.500 (multiplicity 2)
Bi 0.007 0.500 0.751 (multiplicity 4)
Bi 0.167 0.000 0.585 (multiplicity 4)